Gd2HoOs | PBE | optimized geometry

POSCAR file:
```
Gd2HoOs
1.0
1.737 1.003 10.781
-1.737 1.003 10.781
0.000 -2.005 10.781
Gd Ho Os
2 1 1
direct
0.105 0.105 0.105 Gd
0.895 0.895 0.895 Gd
0.000 0.000 0.000 Ho
0.500 0.500 0.500 Os
```

- magnetization (μB per formula unit) = 15.1
- space group = R-3m, No. 166
- calculated formation energy (eV/atom) = 0.29
- D(E_F) (states/eV per atom) = 1.30
- total DFT energy (no corrections) (eV/atom) = -10.700
- V (A^3/atom) = 28.16
- E above lowest polymorph (meV per atom) = 339

---

Th6Te3C2Se | PBE | optimized geometry

POSCAR file:
```
Th6Te3C2Se
1.0
3.513 -6.085 0.000
3.513 6.085 0.000
-2.351 0.000 7.392
Th Te C Se
6 3 2 1
direct
0.072 0.435 0.804 Th
0.202 0.202 0.192 Th
0.435 0.072 0.804 Th
0.565 0.928 0.196 Th
0.798 0.798 0.808 Th
0.928 0.565 0.196 Th
0.000 0.000 0.500 Te
0.342 0.658 0.500 Te
0.658 0.342 0.500 Te
0.168 0.832 0.000 C
0.832 0.168 0.000 C
0.500 0.500 0.000 Se
```

- magnetization (μB per formula unit) = 0.0
- space group = C2/m, No. 12
- D(E_F) (states/eV per atom) = 0.66
- total DFT energy (no corrections) (eV/atom) = -7.283
- V (A^3/atom) = 26.33
- formation energy from raw total energies (meV per atom) = -960

---

LiBi3S | PBE | optimized geometry

POSCAR file:
```
LiBi3S
1.0
5.123 0.000 0.000
0.000 5.123 0.000
0.000 0.000 5.123
Li Bi S
1 3 1
direct
0.000 0.000 0.000 Li
0.000 0.000 0.500 Bi
0.000 0.500 0.000 Bi
0.500 0.000 0.000 Bi
0.500 0.500 0.500 S
```

- magnetization (μB per formula unit) = 0.0
- space group = Pm-3m, No. 221
- D(E_F) (states/eV per atom) = 1.54
- total DFT energy (no corrections) (eV/atom) = -3.098
- V (A^3/atom) = 26.89
- E above lowest polymorph (meV per atom) = 185
- formation energy from raw total energies (meV per atom) = 439

---

NaAs2PdSe | PBE | optimized geometry

POSCAR file:
```
NaAs2PdSe
1.0
4.934 0.000 0.000
0.000 4.934 0.000
0.000 0.000 4.959
Na As Pd Se
1 2 1 1
direct
0.000 0.000 0.000 Na
0.000 0.500 0.000 As
0.500 0.000 0.000 As
0.500 0.500 0.500 Pd
0.000 0.000 0.500 Se
```

- magnetization (μB per formula unit) = 0.0
- space group = P4/mmm, No. 123
- D(E_F) (states/eV per atom) = 0.73
- total DFT energy (no corrections) (eV/atom) = -2.788
- V (A^3/atom) = 24.15
- E above lowest polymorph (meV per atom) = 956
- formation energy from raw total energies (meV per atom) = 1071

---

Dy7HoEr3 | PBE | optimized geometry

POSCAR file:
```
Dy7HoEr3
1.0
6.921 0.000 0.000
0.000 5.485 0.000
-3.431 0.000 9.199
Dy Ho Er
7 1 3
direct
0.000 0.000 0.000 Dy
0.146 0.500 0.291 Dy
0.321 0.500 0.641 Dy
0.417 0.000 0.830 Dy
0.583 0.000 0.170 Dy
0.679 0.500 0.359 Dy
0.854 0.500 0.709 Dy
0.000 0.000 0.500 Ho
0.279 0.500 0.999 Er
0.500 0.000 0.500 Er
0.721 0.500 0.001 Er
```

- magnetization (μB per formula unit) = 0.0
- space group = P2/m, No. 10
- calculated formation energy (eV/atom) = 0.14
- D(E_F) (states/eV per atom) = 1.55
- total DFT energy (no corrections) (eV/atom) = -4.444
- V (A^3/atom) = 31.74
- E above lowest polymorph (meV per atom) = 0

---

Tl5I6 | PBE | optimized geometry

POSCAR file:
```
Tl5I6
1.0
4.244 -7.340 0.000
4.244 7.340 0.000
-2.748 0.000 7.994
Tl I
5 6
direct
0.000 0.000 0.000 Tl
0.168 0.832 0.500 Tl
0.340 0.660 0.000 Tl
0.660 0.340 0.000 Tl
0.832 0.168 0.500 Tl
0.075 0.415 0.247 I
0.244 0.244 0.739 I
0.415 0.075 0.247 I
0.585 0.925 0.753 I
0.756 0.756 0.261 I
0.925 0.585 0.753 I
```

- magnetization (μB per formula unit) = 0.0
- space group = C2/m, No. 12
- D(E_F) (states/eV per atom) = 0.76
- total DFT energy (no corrections) (eV/atom) = -2.484
- V (A^3/atom) = 45.28
- formation energy from raw total energies (meV per atom) = -563

---

Nb2Fe5B2W | PBE | optimized geometry

POSCAR file:
```
Nb2Fe5B2W
1.0
8.730 0.000 0.000
0.000 8.730 0.000
0.000 0.000 2.985
Nb Fe B W
4 10 4 2
direct
0.175 0.325 0.000 Nb
0.325 0.825 0.000 Nb
0.675 0.175 0.000 Nb
0.825 0.675 0.000 Nb
0.000 0.500 0.500 Fe
0.070 0.780 0.500 Fe
0.220 0.070 0.500 Fe
0.280 0.570 0.500 Fe
0.430 0.280 0.500 Fe
0.500 0.000 0.500 Fe
0.570 0.720 0.500 Fe
0.720 0.430 0.500 Fe
0.780 0.930 0.500 Fe
0.930 0.220 0.500 Fe
0.118 0.618 0.000 B
0.382 0.118 0.000 B
0.618 0.882 0.000 B
0.882 0.382 0.000 B
0.000 0.000 0.000 W
0.500 0.500 0.000 W
```

- magnetization (μB per formula unit) = 0.7
- space group = P4/mbm, No. 127
- calculated formation energy (eV/atom) = -0.32
- D(E_F) (states/eV per atom) = 0.49
- total DFT energy (no corrections) (eV/atom) = -9.195
- V (A^3/atom) = 11.37

---

Ac2ErRh2 | PBE | optimized geometry

POSCAR file:
```
Ac2ErRh2
1.0
-4.003 5.593 3.265
4.003 -5.593 3.265
4.003 5.593 -3.265
Ac Er Rh
4 2 4
direct
0.157 0.137 0.294 Ac
0.343 0.637 0.979 Ac
0.657 0.363 0.021 Ac
0.843 0.863 0.706 Ac
0.250 0.750 0.500 Er
0.750 0.250 0.500 Er
0.095 0.751 0.846 Rh
0.405 0.251 0.655 Rh
0.595 0.749 0.345 Rh
0.905 0.249 0.154 Rh
```

- magnetization (μB per formula unit) = 0.0
- space group = Ibam, No. 72
- calculated formation energy (eV/atom) = -0.62
- D(E_F) (states/eV per atom) = 0.62
- total DFT energy (no corrections) (eV/atom) = -6.119
- V (A^3/atom) = 29.24